1.
Computed, not measured: a geometry-optimized Sn8Rh3Au2 structure at the PBE level of DFT.

```
data_Sn8Rh3Au2
_cell_length_a 4.5818
_cell_length_b 8.1137
_cell_length_c 8.5715
_cell_angle_alpha 67.10
_cell_angle_beta 89.92
_cell_angle_gamma 89.93
_symmetry_space_group_name_H-M 'P -1'
_symmetry_Int_Tables_number 2
loop_
_symmetry_equiv_pos_as_xyz
'x,y,z'
'-x,-y,-z'
loop_
_atom_site_label
_atom_site_fract_x
_atom_site_fract_y
_atom_site_fract_z
Sn1 0.0004 0.1177 0.1214
Sn2 0.0006 0.6504 0.6416
Sn3 0.5000 0.1228 0.6040
Sn4 0.5003 0.3763 0.8760
Rh1 0.0000 0.5000 0.0000
Rh2 0.4997 0.2499 0.2276
Au1 0.0000 0.2718 0.7191
```

2.
Computed, not measured: a geometry-optimized SnRh2Au structure at the PBE level of DFT.

```
data_SnRh2Au
_cell_length_a 2.8796
_cell_length_b 4.7449
_cell_length_c 10.7587
_cell_angle_alpha 90.00
_cell_angle_beta 90.00
_cell_angle_gamma 90.00
_symmetry_space_group_name_H-M 'I m m m'
_symmetry_Int_Tables_number 71
_symmetry_space_group_name_Hall '-I 2 2'
loop_
_atom_site_label
_atom_site_fract_x
_atom_site_fract_y
_atom_site_fract_z
Sn1 0.0000 0.0000 0.0000
Rh1 0.0000 0.0000 0.2380
Au1 0.0000 0.0000 0.5000
```

3.
# Sn4RhAu (PBE, relaxed)
# - excess energy over the best structure of this formula in the dataset (eV/atom) = 0.000
data_Sn4RhAu
_cell_length_a 4.6110
_cell_length_b 4.6110
_cell_length_c 6.7055
_cell_angle_alpha 90.00
_cell_angle_beta 90.00
_cell_angle_gamma 90.00
_symmetry_space_group_name_H-M 'P 4/m m m'
_symmetry_Int_Tables_number 123
_symmetry_space_group_name_Hall '-P 4 2'
loop_
_atom_site_label
_atom_site_fract_x
_atom_site_fract_y
_atom_site_fract_z
Sn1 0.0000 0.5000 0.2364
Rh1 0.0000 0.0000 0.0000
Au1 0.5000 0.5000 0.5000

4.
Computed, not measured: a geometry-optimized SnRh2Au structure at the PBE level of DFT.

```
data_SnRh2Au
_cell_length_a 3.1983
_cell_length_b 3.1983
_cell_length_c 6.5129
_cell_angle_alpha 90.00
_cell_angle_beta 90.00
_cell_angle_gamma 90.00
_symmetry_space_group_name_H-M 'P 4/m m m'
_symmetry_Int_Tables_number 123
_symmetry_space_group_name_Hall '-P 4 2'
loop_
_atom_site_label
_atom_site_fract_x
_atom_site_fract_y
_atom_site_fract_z
Sn1 0.0000 0.0000 0.0000
Rh1 0.5000 0.5000 0.2330
Au1 0.0000 0.0000 0.5000
```

5.
Computed, not measured: a geometry-optimized Sn6RhAu structure at the PBE level of DFT.

```
data_Sn6RhAu
_cell_length_a 6.5264
_cell_length_b 6.5378
_cell_length_c 6.6645
_cell_angle_alpha 60.66
_cell_angle_beta 89.81
_cell_angle_gamma 60.09
_symmetry_space_group_name_H-M 'P -1'
_symmetry_Int_Tables_number 2
loop_
_symmetry_equiv_pos_as_xyz
'x,y,z'
'-x,-y,-z'
loop_
_atom_site_label
_atom_site_fract_x
_atom_site_fract_y
_atom_site_fract_z
Sn1 0.0233 0.0246 0.2517
Sn2 0.2217 0.2955 0.7482
Sn3 0.4544 0.2745 0.2439
Rh1 0.0000 0.5000 0.0000
Au1 0.5000 0.5000 0.5000
```

6.
Computed, not measured: a geometry-optimized SnRhAu2 structure at the PBE level of DFT.

```
data_SnRhAu2
_cell_length_a 2.9296
_cell_length_b 2.9296
_cell_length_c 31.9823
_cell_angle_alpha 90.00
_cell_angle_beta 90.00
_cell_angle_gamma 120.00
_symmetry_space_group_name_H-M 'R -3 m'
_symmetry_Int_Tables_number 166
_symmetry_space_group_name_Hall '-R 3 2"'
loop_
_atom_site_label
_atom_site_fract_x
_atom_site_fract_y
_atom_site_fract_z
Sn1 0.0000 0.0000 0.0000
Rh1 0.0000 0.0000 0.5000
Au1 0.0000 0.0000 0.4156
```

| no. | E_form (eV/atom) |
| --- | --- |
| 1 | -0.2172 |
| 2 | 0.3025 |
| 3 | -0.2649 |
| 4 | -0.1965 |
| 5 | -0.1083 |
| 6 | 0.4418 |